Here is a relaxed RbGeH2 crystal from Alexandria. Energies are from GGA-PBE.

The structure belongs to space group Fm-3m (No. 225); the cell edges are 6.547, 6.547 and 6.547 Å and the angles 90.00°, 90.00° and 90.00°. The asymmetric unit holds Rb at (0.000, 0.000, 0.000), Ge at (0.000, 0.000, 0.500) and H at (0.250, 0.250, 0.250).

The calculation puts the total energy at -2.36 eV/atom. The calculation puts the energy above the most stable polymorph in this dataset at 0.870 eV per atom. The calculation puts the magnetic moment at 3.761 μB/cell. The volume comes out at 17.543 Å³/atom.


Here is a relaxed Ba6Pt2SCl3 crystal from Alexandria. Energies are from GGA-PBE.

The structure belongs to space group C2/m (No. 12); the cell edges are 7.937, 13.746 and 8.299 Å and the angles 90.00°, 108.62° and 90.00°. The asymmetric unit holds Ba at (0.236, 0.000, 0.222), Ba at (0.242, 0.331, 0.223), Pt at (0.000, 0.167, 0.000), S at (0.000, 0.500, 0.000), Cl at (0.000, 0.000, 0.500) and Cl at (0.000, 0.338, 0.500).

The calculation puts the total energy at -4.33 eV/atom. The calculation puts the magnetic moment at 3.165 μB/cell. The raw formation energy is -1555 meV per atom. The volume comes out at 35.754 Å³/atom.


Here is a relaxed TlCO3 crystal from Alexandria. Energies are from GGA-PBE.

The structure belongs to space group R-3c (No. 167, hexagonal axes); the cell edges are 5.3548, 5.3548 and 18.1631 Å and the angles 90.00°, 90.00° and 120.00°. The asymmetric unit holds Tl at (0.0000, 0.0000, 0.0000), C at (0.0000, 0.0000, 0.2500) and O at (0.0000, 0.2427, 0.2500).

The calculation puts the total energy at -6.33 eV/atom. The calculation puts the magnetic moment at 0.000 μB/cell. The raw formation energy is -1041 meV per atom. The volume comes out at 15.035 Å³/atom.


Here is a relaxed TaCrNi2 crystal from Alexandria. Energies are from GGA-PBE.

The structure belongs to space group I4/mmm (No. 139); the cell edges are 3.679, 3.679 and 7.586 Å and the angles 90.00°, 90.00° and 90.00°. The asymmetric unit holds Ta at (0.000, 0.000, 0.000), Cr at (0.000, 0.000, 0.500) and Ni at (0.000, 0.500, 0.250).

The calculation puts the total energy at -8.35 eV/atom. For the formation energy, the calculation gives -86 meV per atom. The calculation puts the energy above the most stable polymorph in this dataset at 0.014 eV per atom. The calculation puts the magnetic moment at 2.508 μB/cell. The volume comes out at 12.831 Å³/atom.